DFT (GGA-PBE) results for a relaxed BaAlOs2O8 crystal.

Cell: 5.356 5.356 7.443 Å, 90.00 90.00 120.00°
Positions (direct):
O 0.297 0.260 0.342
O 0.963 0.703 0.342
O 0.740 0.037 0.342
O 0.703 0.740 0.658
O 0.260 0.963 0.658
O 0.667 0.333 0.055
O 0.333 0.667 0.945
O 0.037 0.297 0.658
Os 0.667 0.333 0.301
Os 0.333 0.667 0.699
Al 0.000 0.000 0.500
Ba 0.000 0.000 0.000

Computed properties:
E_tot   -7.1522 eV per atom
Formation energy (no corrections)   -1.50 eV per atom
DOS(E_F)   6.6 states/eV/cell
M_tot   0.250 μB per atom

DFT (GGA-PBE) results for a relaxed CaHfCr2As crystal.

Cell: 4.988 5.142 4.988 Å, 90.00 90.00 90.00°
Positions (direct):
Ca 0.500 0.500 0.500
Hf 0.000 0.000 0.000
As 0.000 0.500 0.000
Cr 0.000 0.000 0.500
Cr 0.500 0.000 0.000

Computed properties:
E_tot   -6.4593 eV per atom
DOS(E_F)   3.6 states/eV/cell
Energy of formation   0.7110 eV/atom
M_tot   1.552 μB per atom